No. 1
First-principles (PBE) data for an optimized crystal structure of Ca2ScAg2, as listed in the Alexandria database.

Cell: 7.7031 7.7031 4.4528 Å, 90.00 90.00 90.00°
Element x y z (fractional)
Ag: 0.1324 0.3676 0.0000
Ag: 0.6324 0.1324 0.0000
Ag: 0.8676 0.6324 0.0000
Ag: 0.3676 0.8676 0.0000
Sc: 0.5000 0.5000 0.0000
Sc: 0.0000 0.0000 0.0000
Ca: 0.1699 0.6699 0.5000
Ca: 0.3301 0.1699 0.5000
Ca: 0.6699 0.8301 0.5000
Ca: 0.8301 0.3301 0.5000

The density of states at the Fermi level comes out at 2.5 states/eV/f.u.

No. 2
First-principles (PBE) data for an optimized crystal structure of SmYTe2, as listed in the Alexandria database.

Cell: 3.8155 5.4024 5.4024 Å, 90.00 90.00 90.00°
Last column: magnetic moment on the atom in μB.
Element x y z (fractional)
Te: 0.0000 0.5000 0.0000  -0.01
Te: 0.0000 0.0000 0.5000  -0.01
Y: 0.5000 0.0000 0.0000  0.29
Sm: 0.5000 0.5000 0.5000  0.25

Its uncorrected formation energy is -1229 meV per atom. The density of states at the Fermi level comes out at 2.9 states/eV/f.u.

No. 3
First-principles (PBE) data for an optimized crystal structure of ErTeCl, as listed in the Alexandria database.

Cell: 6.9604 10.3292 9.9641 Å, 139.03 90.00 90.00°
Element x y z (fractional)
Cl: 0.9227 0.0308 0.7262
Cl: 0.4227 0.9692 0.7738
Cl: 0.5773 0.0308 0.2262
Cl: 0.0773 0.9692 0.2738
Er: 0.8715 0.2780 0.4635
Er: 0.3715 0.7220 0.0365
Er: 0.6285 0.2780 0.9635
Er: 0.1285 0.7220 0.5365
Te: 0.7703 0.4740 0.3603
Te: 0.2297 0.5260 0.6397
Te: 0.7297 0.4740 0.8603
Te: 0.2703 0.5260 0.1397

Its uncorrected formation energy is -1598 meV per atom. The density of states at the Fermi level comes out at 0.0 states/eV/f.u.

No. 4
First-principles (PBE) data for an optimized crystal structure of ReAgPtCl2, as listed in the Alexandria database.

Cell: 4.6765 5.0371 4.6765 Å, 90.00 90.00 90.00°
Last column: magnetic moment on the atom in μB.
Element x y z (fractional)
Cl: 0.0000 0.0000 0.5000  0.01
Cl: 0.5000 0.0000 0.0000  0.02
Re: 0.0000 0.0000 0.0000  0.24
Ag: 0.5000 0.5000 0.5000  0.00
Pt: 0.0000 0.5000 0.0000  0.01

Its uncorrected formation energy is 635 meV per atom. The density of states at the Fermi level comes out at 5.0 states/eV/f.u.

No. 5
First-principles (PBE) data for an optimized crystal structure of Re2SiPb, as listed in the Alexandria database.

Cell: 2.9654 2.9654 8.6582 Å, 90.00 90.00 115.23°
Element x y z (fractional)
Pb: 0.5000 0.5000 0.7500
Re: 0.0000 0.0000 0.0409
Re: 0.0000 0.0000 0.4591
Si: 0.5000 0.5000 0.2500

Its uncorrected formation energy is 720 meV per atom. The density of states at the Fermi level comes out at 2.9 states/eV/f.u.

No. 6
First-principles (PBE) data for an optimized crystal structure of Ca2Ga3Au17, as listed in the Alexandria database.

Cell: 7.8638 7.8638 7.8638 Å, 83.41 83.41 83.41°
Element x y z (fractional)
Au: 0.9073 0.9073 0.9073
Au: 0.3187 0.3187 0.8636
Au: 0.6813 0.6813 0.1364
Au: 0.0000 0.2658 0.7342
Au: 0.8636 0.3187 0.3187
Au: 0.2658 0.0000 0.7342
Au: 0.0000 0.5000 0.0000
Au: 0.0000 0.7342 0.2658
Au: 0.3187 0.8636 0.3187
Au: 0.7342 0.2658 0.0000
Au: 0.1364 0.6813 0.6813
Au: 0.0000 0.0000 0.5000
Au: 0.7342 0.0000 0.2658
Au: 0.5000 0.0000 0.0000
Au: 0.6813 0.1364 0.6813
Au: 0.2658 0.7342 0.0000
Au: 0.0927 0.0927 0.0927
Ca: 0.7153 0.7153 0.7153
Ca: 0.2847 0.2847 0.2847
Ga: 0.5000 0.0000 0.5000
Ga: 0.0000 0.5000 0.5000
Ga: 0.5000 0.5000 0.0000

The density of states at the Fermi level comes out at 10.8 states/eV/f.u.

No. 7
First-principles (PBE) data for an optimized crystal structure of Ac5Sn3Ru3, as listed in the Alexandria database.

Cell: 5.1193 9.2850 9.2850 Å, 120.00 90.00 90.00°
Element x y z (fractional)
Ru: 0.5000 0.6175 0.6175
Ru: 0.5000 0.3825 0.0000
Ru: 0.5000 0.0000 0.3825
Sn: 0.0000 0.3530 0.0000
Sn: 0.0000 0.0000 0.3530
Sn: 0.0000 0.6470 0.6470
Ac: 0.5000 0.0000 0.7577
Ac: 0.5000 0.2423 0.2423
Ac: 0.5000 0.6667 0.3333
Ac: 0.5000 0.3333 0.6667
Ac: 0.5000 0.7577 0.0000

The density of states at the Fermi level comes out at 7.1 states/eV/f.u.

No. 8
First-principles (PBE) data for an optimized crystal structure of SrPmSm2As4, as listed in the Alexandria database.

Cell: 4.2662 7.4317 7.4252 Å, 70.66 90.00 90.00°
Element x y z (fractional)
As: 0.0000 0.7626 0.7384
As: 0.5000 0.7562 0.2542
As: 0.5000 0.2438 0.7458
As: 0.0000 0.2374 0.2616
Sr: 0.5000 0.5000 0.0000
Pm: 0.0000 0.5000 0.5000
Sm: 0.5000 0.0000 0.5000
Sm: 0.0000 0.0000 0.0000

The density of states at the Fermi level comes out at 4.4 states/eV/f.u.

No. 9
First-principles (PBE) data for an optimized crystal structure of GaNiPdBr2, as listed in the Alexandria database.

Cell: 5.3357 5.3357 4.7744 Å, 90.00 90.00 90.00°
Last column: magnetic moment on the atom in μB.
Element x y z (fractional)
Pd: 0.0000 0.0000 0.5000  0.00
Ga: 0.0000 0.0000 0.0000  0.02
Br: 0.5000 0.0000 0.0000  0.02
Br: 0.0000 0.5000 0.0000  0.02
Ni: 0.5000 0.5000 0.5000  0.78

Its uncorrected formation energy is 686 meV per atom. The density of states at the Fermi level comes out at 12.2 states/eV/f.u.

No. 10
First-principles (PBE) data for an optimized crystal structure of Ca2NdAgSe4, as listed in the Alexandria database.

Cell: 4.2355 7.2232 7.3142 Å, 109.85 90.00 90.00°
Element x y z (fractional)
Ca: 0.5000 0.0000 0.5000
Ca: 0.0000 0.5000 0.5000
Se: 0.5000 0.2483 0.2465
Se: 0.5000 0.7517 0.7535
Se: 0.0000 0.2535 0.7470
Se: 0.0000 0.7465 0.2530
Nd: 0.5000 0.5000 0.0000
Ag: 0.0000 0.0000 0.0000

Its uncorrected formation energy is -1567 meV per atom.

No. 11
First-principles (PBE) data for an optimized crystal structure of MgSnHg, as listed in the Alexandria database.

Cell: 3.7836 3.7836 11.1374 Å, 99.78 99.78 90.00°
Element x y z (fractional)
Hg: 0.8499 0.8499 0.6997
Hg: 0.1501 0.1501 0.3003
Mg: 0.2896 0.2896 0.5792
Mg: 0.7104 0.7104 0.4208
Sn: 0.4303 0.4303 0.8607
Sn: 0.5697 0.5697 0.1393

The density of states at the Fermi level comes out at 0.7 states/eV/f.u.

No. 12
First-principles (PBE) data for an optimized crystal structure of GaSb3H, as listed in the Alexandria database.

Cell: 4.7649 4.7649 4.7649 Å, 90.00 90.00 90.00°
Element x y z (fractional)
Ga: 0.5000 0.5000 0.5000
Sb: 0.0000 0.5000 0.0000
Sb: 0.0000 0.0000 0.5000
Sb: 0.5000 0.0000 0.0000
H: 0.0000 0.0000 0.0000

The density of states at the Fermi level comes out at 2.3 states/eV/f.u.

No. 13
First-principles (PBE) data for an optimized crystal structure of TaTlRh3, as listed in the Alexandria database.

Cell: 4.7775 4.7775 4.7775 Å, 90.00 90.00 90.00°
Element x y z (fractional)
Rh: 0.0000 0.5000 0.0000
Rh: 0.5000 0.0000 0.0000
Rh: 0.0000 0.0000 0.5000
Ta: 0.0000 0.0000 0.0000
Tl: 0.5000 0.5000 0.5000

The density of states at the Fermi level comes out at 3.5 states/eV/f.u.

No. 14
First-principles (PBE) data for an optimized crystal structure of BaNd2CoS5, as listed in the Alexandria database.

Cell: 8.7515 8.7515 8.7515 Å, 126.53 126.53 79.01°
Last column: magnetic moment on the atom in μB.
Element x y z (fractional)
S: 0.0000 0.0000 0.0000  0.05
S: 0.5098 0.0098 0.7906  0.10
S: 0.2808 0.4902 0.5000  0.10
S: 0.0098 0.2192 0.5000  0.10
S: 0.7808 0.2808 0.7906  0.10
S: 0.2192 0.7192 0.2094  0.10
S: 0.4902 0.9902 0.2094  0.10
S: 0.9902 0.7808 0.5000  0.10
S: 0.5000 0.5000 0.0000  0.05
S: 0.7192 0.5098 0.5000  0.10
Ba: 0.7500 0.7500 0.0000  0.01
Ba: 0.2500 0.2500 0.0000  0.01
Nd: 0.1629 0.6629 0.8258  0.03
Nd: 0.6629 0.8371 0.5000  0.03
Nd: 0.8371 0.3371 0.1742  0.03
Nd: 0.3371 0.1629 0.5000  0.03
Co: 0.2500 0.7500 0.5000  2.12
Co: 0.7500 0.2500 0.5000  2.12

Its uncorrected formation energy is -1654 meV per atom. The density of states at the Fermi level comes out at 4.0 states/eV/f.u.

No. 15
First-principles (PBE) data for an optimized crystal structure of Ba3TmPa2N6, as listed in the Alexandria database.

Cell: 6.2635 6.2635 6.7743 Å, 98.87 98.87 119.96°
Element x y z (fractional)
N: 0.7122 0.7122 0.1770
N: 0.4071 0.0596 0.1803
N: 0.0596 0.4071 0.1803
N: 0.5929 0.9404 0.8197
N: 0.9404 0.5929 0.8197
N: 0.2878 0.2878 0.8230
Tm: 0.0000 0.0000 0.0000
Ba: 0.8378 0.1622 0.5000
Ba: 0.5000 0.5000 0.5000
Ba: 0.1622 0.8378 0.5000
Pa: 0.3332 0.6668 0.0000
Pa: 0.6668 0.3332 0.0000

Its uncorrected formation energy is -1259 meV per atom. The density of states at the Fermi level comes out at 2.8 states/eV/f.u.

No. 16
First-principles (PBE) data for an optimized crystal structure of DyCdPdRh, as listed in the Alexandria database.

Cell: 4.7363 4.7363 4.7363 Å, 60.00 60.00 60.00°
Element x y z (fractional)
Dy: 0.2500 0.2500 0.2500
Cd: 0.7500 0.7500 0.7500
Pd: 0.0000 0.0000 0.0000
Rh: 0.5000 0.5000 0.5000

The density of states at the Fermi level comes out at 2.1 states/eV/f.u.

No. 17
First-principles (PBE) data for an optimized crystal structure of Ta2AsBr, as listed in the Alexandria database.

Cell: 4.1858 3.4790 6.2946 Å, 94.81 90.00 90.00°
Element x y z (fractional)
Br: 0.5000 0.7500 0.7500
Ta: 0.0000 0.9485 0.0883
Ta: 0.0000 0.5515 0.4117
As: 0.5000 0.2500 0.2500

Its uncorrected formation energy is 213 meV per atom. The density of states at the Fermi level comes out at 1.1 states/eV/f.u.

No. 18
First-principles (PBE) data for an optimized crystal structure of Tc2HgAs, as listed in the Alexandria database.

Cell: 4.2303 4.2303 5.8412 Å, 78.74 78.74 42.31°
Element x y z (fractional)
Tc: 0.0106 0.0106 0.9446
Tc: 0.4894 0.4894 0.5554
Hg: 0.2500 0.2500 0.2500
As: 0.7500 0.7500 0.7500

The density of states at the Fermi level comes out at 3.8 states/eV/f.u.

No. 19
First-principles (PBE) data for an optimized crystal structure of Nd2PtF, as listed in the Alexandria database.

Cell: 4.3535 4.3535 7.9644 Å, 74.14 74.14 60.00°
Element x y z (fractional)
F: 0.0000 0.0000 0.0000
Pt: 0.5000 0.5000 0.5000
Nd: 0.1015 0.1015 0.6954
Nd: 0.8985 0.8985 0.3046

Its uncorrected formation energy is -1860 meV per atom. The density of states at the Fermi level comes out at 1.8 states/eV/f.u.

Number 1: DFT total energy -3.40 eV per atom. Number 2: DFT total energy -5.60 eV per atom. Number 3: DFT total energy -4.78 eV per atom. Number 4: DFT total energy -4.37 eV per atom. Number 5: DFT total energy -7.79 eV per atom. Number 6: DFT total energy -3.19 eV per atom. Number 7: DFT total energy -5.71 eV per atom. Number 8: DFT total energy -5.66 eV per atom. Number 9: DFT total energy -2.78 eV per atom. Number 10: DFT total energy -4.76 eV per atom. Number 11: DFT total energy -1.98 eV per atom. Number 12: DFT total energy -3.35 eV per atom. Number 13: DFT total energy -6.54 eV per atom. Number 14: DFT total energy -6.01 eV per atom. Number 15: DFT total energy -7.86 eV per atom. Number 16: DFT total energy -5.17 eV per atom. Number 17: DFT total energy -7.29 eV per atom. Number 18: DFT total energy -6.07 eV per atom. Number 19: DFT total energy -6.22 eV per atom.